i:
# RbSbPbI2

A relaxed structure of RbSbPbI2 (PBE, Alexandria via LeMat-Bulk).

Its crystal system is tetragonal.

The space group is P4/mmm (No. 123) and the conventional cell measures 6.441, 6.441 and 6.137 Å, with angles of 90.00, 90.00 and 90.00 degrees. The distinct sites, in fractional coordinates, are Rb at (0.000, 0.000, 0.000), Sb at (0.500, 0.500, 0.000), Pb at (0.500, 0.500, 0.500) and I at (0.000, 0.500, 0.500).


ii:
# RbSbPbI2

A relaxed structure of RbSbPbI2 (PBE, Alexandria via LeMat-Bulk).

Its crystal system is tetragonal.

The space group is P4/mmm (No. 123) and the conventional cell measures 6.524, 6.524 and 6.701 Å, with angles of 90.00, 90.00 and 90.00 degrees. The distinct sites, in fractional coordinates, are Rb at (0.000, 0.000, 0.000), Sb at (0.000, 0.000, 0.500), Pb at (0.500, 0.500, 0.500) and I at (0.000, 0.500, 0.000).


Energetically preferred structure: i | next structure: +751 meV/atom


i:
# Rb2SnPbI6

A relaxed structure of Rb2SnPbI6 (PBE, Alexandria via LeMat-Bulk).

Its crystal system is monoclinic.

The space group is P2_1/c (No. 14) and the conventional cell measures 8.495, 8.977 and 14.944 Å, with angles of 90.00, 124.62 and 90.00 degrees. The distinct sites, in fractional coordinates, are Rb at (0.219, 0.082, 0.249), Sn at (0.000, 0.000, 0.500), Pb at (0.500, 0.000, 0.000), I at (0.137, 0.200, 0.948), I at (0.254, 0.695, 0.948) and I at (0.354, 0.024, 0.748).


ii:
# Rb2SnPbI6

A relaxed structure of Rb2SnPbI6 (PBE, Alexandria via LeMat-Bulk).

Its crystal system is cubic.

The space group is Fm-3m (No. 225) and the conventional cell measures 12.614, 12.614 and 12.614 Å, with angles of 90.00, 90.00 and 90.00 degrees. The distinct sites, in fractional coordinates, are Rb at (0.250, 0.250, 0.250), Sn at (0.000, 0.000, 0.000), Pb at (0.000, 0.000, 0.500) and I at (0.000, 0.000, 0.248).


Energetically preferred structure: i | next structure: +45 meV/atom


i:
# Rb2ZnPbI6

A relaxed structure of Rb2ZnPbI6 (PBE, Alexandria via LeMat-Bulk).

Its crystal system is triclinic.

The space group is P1 (No. 1) and the conventional cell measures 8.579, 8.581 and 9.730 Å, with angles of 90.01, 116.12 and 119.99 degrees. The distinct sites, in fractional coordinates, are Rb at (0.000, 0.000, 0.000), Rb at (0.026, 0.513, 0.539), Zn at (0.559, 0.780, 0.340), Pb at (0.446, 0.223, 0.668), I at (0.298, 0.949, 0.848), I at (0.306, 0.850, 0.347), I at (0.497, 0.457, 0.347), I at (0.499, 0.549, 0.847), I at (0.891, 0.040, 0.348) and I at (0.898, 0.349, 0.848).


ii:
# Rb2ZnPbI6

A relaxed structure of Rb2ZnPbI6 (PBE, Alexandria via LeMat-Bulk).

Its crystal system is cubic.

The space group is Fm-3m (No. 225) and the conventional cell measures 12.094, 12.094 and 12.094 Å, with angles of 90.00, 90.00 and 90.00 degrees. The distinct sites, in fractional coordinates, are Rb at (0.250, 0.250, 0.250), Zn at (0.000, 0.000, 0.000), Pb at (0.000, 0.000, 0.500) and I at (0.000, 0.000, 0.237).


Energetically preferred structure: i | next structure: +57 meV/atom


i:
# Ru2RhPbI

A relaxed structure of Ru2RhPbI (PBE, Alexandria via LeMat-Bulk).

Its crystal system is tetragonal.

The space group is P4/mmm (No. 123) and the conventional cell measures 4.786, 4.786 and 5.871 Å, with angles of 90.00, 90.00 and 90.00 degrees. The distinct sites, in fractional coordinates, are Ru at (0.000, 0.500, 0.000), Rh at (0.000, 0.000, 0.500), Pb at (0.500, 0.500, 0.500) and I at (0.500, 0.500, 0.000).


ii:
# Ru2RhPbI

A relaxed structure of Ru2RhPbI (PBE, Alexandria via LeMat-Bulk).

Its crystal system is tetragonal.

The space group is P4/mmm (No. 123) and the conventional cell measures 4.911, 4.911 and 4.877 Å, with angles of 90.00, 90.00 and 90.00 degrees. The distinct sites, in fractional coordinates, are Ru at (0.000, 0.500, 0.000), Rh at (0.000, 0.000, 0.500), Pb at (0.500, 0.500, 0.500) and I at (0.000, 0.000, 0.000).


Energetically preferred structure: ii | next structure: +597 meV/atom


i:
# Sb2RhPbI

A relaxed structure of Sb2RhPbI (PBE, Alexandria via LeMat-Bulk).

Its crystal system is tetragonal.

The space group is P4/mmm (No. 123) and the conventional cell measures 5.783, 5.783 and 6.015 Å, with angles of 90.00, 90.00 and 90.00 degrees. The distinct sites, in fractional coordinates, are Sb at (0.000, 0.500, 0.000), Rh at (0.000, 0.000, 0.500), Pb at (0.500, 0.500, 0.000) and I at (0.500, 0.500, 0.500).


ii:
# Sb2RhPbI

A relaxed structure of Sb2RhPbI (PBE, Alexandria via LeMat-Bulk).

Its crystal system is tetragonal.

The space group is P4/mmm (No. 123) and the conventional cell measures 5.132, 5.132 and 5.738 Å, with angles of 90.00, 90.00 and 90.00 degrees. The distinct sites, in fractional coordinates, are Sb at (0.000, 0.500, 0.000), Rh at (0.000, 0.000, 0.000), Pb at (0.500, 0.500, 0.500) and I at (0.000, 0.000, 0.500).


Energetically preferred structure: ii | next structure: +1156 meV/atom


i:
# Ru2PbI

A relaxed structure of Ru2PbI (PBE, Alexandria via LeMat-Bulk).

Its crystal system is cubic.

The space group is Fm-3m (No. 225) and the conventional cell measures 6.744, 6.744 and 6.744 Å, with angles of 90.00, 90.00 and 90.00 degrees. The distinct sites, in fractional coordinates, are Ru at (0.250, 0.250, 0.250), Pb at (0.000, 0.000, 0.000) and I at (0.000, 0.000, 0.500).


ii:
# Ru2PbI

A relaxed structure of Ru2PbI (PBE, Alexandria via LeMat-Bulk).

Its crystal system is tetragonal.

The space group is I-42d (No. 122) and the conventional cell measures 6.014, 6.014 and 11.992 Å, with angles of 90.00, 90.00 and 90.00 degrees. The distinct sites, in fractional coordinates, are Ru at (0.228, 0.250, 0.125), Pb at (0.000, 0.000, 0.500) and I at (0.000, 0.000, 0.000).


Energetically preferred structure: i | next structure: +143 meV/atom


i:
# RuPbI2

A relaxed structure of RuPbI2 (PBE, Alexandria via LeMat-Bulk).

Its crystal system is cubic.

The space group is Fm-3m (No. 225) and the conventional cell measures 7.616, 7.616 and 7.616 Å, with angles of 90.00, 90.00 and 90.00 degrees. The distinct sites, in fractional coordinates, are Ru at (0.000, 0.000, 0.000), Pb at (0.000, 0.000, 0.500) and I at (0.250, 0.250, 0.250).


ii:
# RuPbI2

A relaxed structure of RuPbI2 (PBE, Alexandria via LeMat-Bulk).

Its crystal system is tetragonal.

The space group is I-42d (No. 122) and the conventional cell measures 7.020, 7.020 and 11.825 Å, with angles of 90.00, 90.00 and 90.00 degrees. The distinct sites, in fractional coordinates, are Ru at (0.000, 0.000, 0.000), Pb at (0.000, 0.000, 0.500) and I at (0.171, 0.250, 0.125).


Energetically preferred structure: ii | next structure: +141 meV/atom


i:
# YRuPb2I

A relaxed structure of YRuPb2I (PBE, Alexandria via LeMat-Bulk).

Its crystal system is tetragonal.

The space group is P4/mmm (No. 123) and the conventional cell measures 5.987, 5.987 and 5.717 Å, with angles of 90.00, 90.00 and 90.00 degrees. The distinct sites, in fractional coordinates, are Y at (0.000, 0.000, 0.000), Ru at (0.500, 0.500, 0.500), Pb at (0.000, 0.500, 0.000) and I at (0.000, 0.000, 0.500).


ii:
# YRuPb2I

A relaxed structure of YRuPb2I (PBE, Alexandria via LeMat-Bulk).

Its crystal system is tetragonal.

The space group is P4/mmm (No. 123) and the conventional cell measures 5.230, 5.230 and 5.801 Å, with angles of 90.00, 90.00 and 90.00 degrees. The distinct sites, in fractional coordinates, are Y at (0.000, 0.000, 0.000), Ru at (0.500, 0.500, 0.500), Pb at (0.000, 0.500, 0.500) and I at (0.500, 0.500, 0.000).


Energetically preferred structure: ii | next structure: +756 meV/atom